This record from OQMD via LeMat-Bulk describes a geometry-optimized TlTcNi2 structure. The functional is PBE.

Properties
**Distance to the lowest polymorph of the same formula**: 0.341 eV per atom
**Total energy**: -5.10 eV/atom
**Spin magnetization**: 2.51 μB per cell
**ρ**: 10.486 g/cm³

Geometry as CIF:
```
data_TlTcNi2
_symmetry_space_group_name_H-M 'P 4/m m m'
_symmetry_Int_Tables_number 123
_symmetry_space_group_name_Hall '-P 4 2'
_cell_length_a 3.5975
_cell_length_b 3.5975
_cell_length_c 5.1361
_cell_angle_alpha 90.00
_cell_angle_beta 90.00
_cell_angle_gamma 90.00
loop_
_atom_site_label
_atom_site_fract_x
_atom_site_fract_y
_atom_site_fract_z
_atom_site_occupancy
Tl1 0.0000 0.0000 0.0000 1
Tc1 0.5000 0.5000 0.5000 1
Ni1 0.0000 0.0000 0.5000 1
Ni2 0.5000 0.5000 0.0000 1
```